Entry 1:
## PaTl3Bi2Se6 (PBE)

Data for a relaxed PaTl3Bi2Se6 crystal.

Geometry as POSCAR:
```
PaTl3Bi2Se6
1.0
3.6946 -6.3769 0.0000
3.6946 6.3769 0.0000
-2.4200 0.0000 7.8822
Pa Tl Bi Se
1 3 2 6
Direct
0.0000 0.0000 0.0000
0.1671 0.8329 0.5000
0.5000 0.5000 0.5000
0.8329 0.1671 0.5000
0.3331 0.6669 0.0000
0.6669 0.3331 0.0000
0.0689 0.3905 0.2090
0.2500 0.2500 0.7887
0.3905 0.0689 0.2090
0.6095 0.9311 0.7910
0.7500 0.7500 0.2113
0.9311 0.6095 0.7910
```

Output
As for the energy relative to the elements, uncorrected: -7.43 eV/f.u. As for the symmetry: C2/m (12). The total magnetic moment is 1.3 Bohr magnetons per cell. The calculated volume comes out at 371.41 Å³ per cell. The total energy is -52.7 eV for the cell shown.

Entry 2:
## Pa5Si2Bi2 (PBE)

Data for a relaxed Pa5Si2Bi2 crystal.

Geometry as POSCAR:
```
Pa5Si2Bi2
1.0
7.8034 -3.8347 0.0000
7.8034 3.8347 0.0000
0.0000 0.0000 7.6685
Pa Si Bi
10 4 4
Direct
0.0000 0.0000 0.0000
0.0640 0.7052 0.6820
0.2052 0.5640 0.1820
0.2948 0.9360 0.6820
0.4360 0.7948 0.1820
0.5000 0.5000 0.5000
0.5640 0.2052 0.8180
0.7052 0.0640 0.3180
0.7948 0.4360 0.8180
0.9360 0.2948 0.3180
0.1172 0.8828 0.3837
0.3828 0.6172 0.8837
0.6172 0.3828 0.1163
0.8828 0.1172 0.6163
0.2189 0.2189 0.0000
0.2811 0.2811 0.5000
0.7189 0.7189 0.5000
0.7811 0.7811 0.0000
```

Output
As for the energy relative to the elements, uncorrected: -2.81 eV/f.u. As for the symmetry: Cmce (64). The total magnetic moment is 0.0 Bohr magnetons per cell. The calculated volume comes out at 458.93 Å³ per cell. The total energy is -137.8 eV for the cell shown.

Entry 3:
## Pa2SiBi (PBE)

Data for a relaxed Pa2SiBi crystal.

Geometry as POSCAR:
```
Pa2SiBi
1.0
2.7727 -2.2209 0.0000
2.7727 2.2209 0.0000
-0.9452 0.0000 8.1285
Pa Si Bi
2 1 1
Direct
0.0538 0.0538 0.2896
0.9462 0.9462 0.7104
0.5000 0.5000 0.5000
0.5000 0.5000 0.0000
```

Output
As for the energy relative to the elements, uncorrected: -0.97 eV/f.u. As for the symmetry: C2/m (12). The total magnetic moment is 0.0 Bohr magnetons per cell. As for the energy above the most stable polymorph in this dataset: 0.159 eV per formula unit. The calculated volume comes out at 100.11 Å³ per cell. The total energy is -29.3 eV for the cell shown.

Entry 4:
## Pa2SiBi (PBE)

Data for a relaxed Pa2SiBi crystal.

Geometry as POSCAR:
```
Pa2SiBi
1.0
2.0916 1.2076 7.2170
-2.0916 1.2076 7.2170
0.0000 -2.4152 7.2170
Pa Si Bi
2 1 1
Direct
0.2365 0.2365 0.2365
0.7635 0.7635 0.7635
0.5000 0.5000 0.5000
0.0000 0.0000 0.0000
```

Output
As for the energy relative to the elements, uncorrected: -1.13 eV/f.u. As for the symmetry: R-3m (166). The total magnetic moment is 0.0 Bohr magnetons per cell. As for the energy above the most stable polymorph in this dataset: 0.000 eV per formula unit. The calculated volume comes out at 109.38 Å³ per cell. The total energy is -29.4 eV for the cell shown.

Entry 5:
## Pa2SiBi (PBE)

Data for a relaxed Pa2SiBi crystal.

Geometry as POSCAR:
```
Pa2SiBi
1.0
3.4867 0.0000 0.0000
0.0000 3.4867 0.0000
0.0000 0.0000 7.9975
Pa Si Bi
2 1 1
Direct
0.0000 0.0000 0.2064
0.0000 0.0000 0.7936
0.5000 0.5000 0.0000
0.5000 0.5000 0.5000
```

Output
As for the energy relative to the elements, uncorrected: -0.80 eV/f.u. As for the symmetry: P4/mmm (123). The total magnetic moment is 0.0 Bohr magnetons per cell. As for the energy above the most stable polymorph in this dataset: 0.331 eV per formula unit. The calculated volume comes out at 97.23 Å³ per cell. The total energy is -29.1 eV for the cell shown.

Entry 6:
## SmPa2Bi5 (PBE)

Data for a relaxed SmPa2Bi5 crystal.

Geometry as POSCAR:
```
SmPa2Bi5
1.0
8.2969 0.0000 0.0000
0.0000 13.3247 0.0000
0.0000 0.0000 4.5155
Sm Pa Bi
2 4 10
Direct
0.0000 0.0000 0.0000
0.5000 0.5000 0.0000
0.1018 0.3199 0.5000
0.3982 0.8199 0.5000
0.6018 0.1801 0.5000
0.8982 0.6801 0.5000
0.0000 0.5000 0.0000
0.1284 0.7800 0.0000
0.2388 0.0770 0.5000
0.2612 0.5770 0.5000
0.3716 0.2800 0.0000
0.5000 0.0000 0.0000
0.6284 0.7200 0.0000
0.7388 0.4230 0.5000
0.7612 0.9230 0.5000
0.8716 0.2200 0.0000
```

Output
As for the symmetry: Pbam (55). As for the energy of formation from the pure elements: -200 kJ/mol of formula units. The total magnetic moment is 3.1 Bohr magnetons per cell. The calculated volume comes out at 499.21 Å³ per cell. The total energy is -90.4 eV for the cell shown.

Entry 7:
## SmPaBi2 (PBE)

Data for a relaxed SmPaBi2 crystal.

Geometry as POSCAR:
```
SmPaBi2
1.0
2.2478 1.2978 7.4793
-2.2478 1.2978 7.4793
0.0000 -2.5955 7.4793
Sm Pa Bi
1 1 2
Direct
0.0000 0.0000 0.0000
0.5000 0.5000 0.5000
0.2491 0.2491 0.2491
0.7509 0.7509 0.7509
```

Output
As for the symmetry: R-3m (166). As for the energy of formation from the pure elements: -184 kJ/mol of formula units. The total magnetic moment is 1.3 Bohr magnetons per cell. As for the energy above the most stable polymorph in this dataset: 0.000 eV per formula unit. The calculated volume comes out at 130.91 Å³ per cell. The total energy is -23.9 eV for the cell shown.

Entry 8:
## Sm3PaBi5 (PBE)

Data for a relaxed Sm3PaBi5 crystal.

Geometry as POSCAR:
```
Sm3PaBi5
1.0
9.9159 0.0000 0.0000
-4.9580 8.5875 0.0000
0.0000 0.0000 6.3952
Sm Pa Bi
6 2 10
Direct
0.0000 0.3823 0.2500
0.0000 0.6177 0.7500
0.3823 0.0000 0.2500
0.3823 0.3823 0.7500
0.6177 0.0000 0.7500
0.6177 0.6177 0.2500
0.0000 0.0000 0.0000
0.0000 0.0000 0.5000
0.0000 0.2779 0.7500
0.0000 0.7221 0.2500
0.2779 0.0000 0.7500
0.2779 0.2779 0.2500
0.3333 0.6667 0.0000
0.3333 0.6667 0.5000
0.6667 0.3333 0.0000
0.6667 0.3333 0.5000
0.7221 0.0000 0.2500
0.7221 0.7221 0.7500
```

Output
As for the symmetry: P6_3/mcm (193). As for the energy of formation from the pure elements: -576 kJ/mol of formula units. The total magnetic moment is 0.7 Bohr magnetons per cell. The calculated volume comes out at 544.57 Å³ per cell. The total energy is -98.1 eV for the cell shown.

Entry 9:
## Sm5PaBi6 (PBE)

Data for a relaxed Sm5PaBi6 crystal.

Geometry as POSCAR:
```
Sm5PaBi6
1.0
3.9322 -6.8129 0.0000
3.9322 6.8129 0.0000
-2.6196 0.0000 7.4100
Sm Pa Bi
5 1 6
Direct
0.0000 0.0000 0.0000
0.1658 0.8342 0.5000
0.3308 0.6692 0.0000
0.6692 0.3308 0.0000
0.8342 0.1658 0.5000
0.5000 0.5000 0.5000
0.0899 0.4180 0.2531
0.2554 0.2554 0.7478
0.4180 0.0899 0.2531
0.5820 0.9101 0.7469
0.7446 0.7446 0.2522
0.9101 0.5820 0.7469
```

Output
As for the symmetry: C2/m (12). As for the energy of formation from the pure elements: -910 kJ/mol of formula units. The total magnetic moment is 0.7 Bohr magnetons per cell. The calculated volume comes out at 397.02 Å³ per cell. The total energy is -65.8 eV for the cell shown.

Entry 10:
## Sm2PaBi3 (PBE)

Data for a relaxed Sm2PaBi3 crystal.

Geometry as POSCAR:
```
Sm2PaBi3
1.0
0.0000 6.4072 13.5662
4.5407 0.0000 13.5662
4.5407 6.4072 0.0000
Sm Pa Bi
8 4 12
Direct
0.0426 0.0426 0.2074
0.1242 0.1242 0.6258
0.2074 0.2074 0.0426
0.3742 0.3742 0.8758
0.6258 0.6258 0.1242
0.7926 0.7926 0.9574
0.8758 0.8758 0.3742
0.9574 0.9574 0.7926
0.2915 0.2915 0.4585
0.4585 0.4585 0.2915
0.5415 0.5415 0.7085
0.7085 0.7085 0.5415
0.0410 0.5406 0.2128
0.1292 0.6208 0.6208
0.2128 0.7056 0.0410
0.2944 0.7872 0.4594
0.3792 0.8708 0.8708
0.4594 0.9590 0.2944
0.5406 0.0410 0.7056
0.6208 0.1292 0.1292
0.7056 0.2128 0.5406
0.7872 0.2944 0.9590
0.8708 0.3792 0.3792
0.9590 0.4594 0.7872
```

Output
As for the symmetry: Fddd (70). As for the energy of formation from the pure elements: -365 kJ/mol of formula units. The total magnetic moment is 4.5 Bohr magnetons per cell. The calculated volume comes out at 789.37 Å³ per cell. The total energy is -137.5 eV for the cell shown.

Entry 11:
## Sm4PaBi5 (PBE)

Data for a relaxed Sm4PaBi5 crystal.

Geometry as POSCAR:
```
Sm4PaBi5
1.0
-5.0744 5.0744 3.2106
5.0744 -5.0744 3.2106
5.0744 5.0744 -3.2106
Sm Pa Bi
4 1 5
Direct
0.0980 0.3018 0.3998
0.3018 0.9020 0.2038
0.6982 0.0980 0.7962
0.9020 0.6982 0.6002
0.5000 0.5000 0.0000
0.0000 0.0000 0.0000
0.2049 0.5987 0.8036
0.4013 0.2049 0.6063
0.5987 0.7951 0.3937
0.7951 0.4013 0.1964
```

Output
As for the symmetry: I4/m (87). As for the energy of formation from the pure elements: -728 kJ/mol of formula units. The total magnetic moment is 0.9 Bohr magnetons per cell. The calculated volume comes out at 330.69 Å³ per cell. The total energy is -55.3 eV for the cell shown.

Entry 12:
## Sm2PaBi (PBE)

Data for a relaxed Sm2PaBi crystal.

Geometry as POSCAR:
```
Sm2PaBi
1.0
1.6776 0.9686 12.2333
-1.6776 0.9686 12.2333
0.0000 -1.9371 12.2333
Sm Pa Bi
2 1 1
Direct
0.0893 0.0893 0.0893
0.9107 0.9107 0.9107
0.0000 0.0000 0.0000
0.5000 0.5000 0.5000
```

Output
As for the symmetry: R-3m (166). As for the energy of formation from the pure elements: 59 kJ/mol of formula units. The total magnetic moment is 0.0 Bohr magnetons per cell. The calculated volume comes out at 119.27 Å³ per cell. The total energy is -22.2 eV for the cell shown.

Entry 13:
## SmPaBi2 (PBE)

Data for a relaxed SmPaBi2 crystal.

Geometry as POSCAR:
```
SmPaBi2
1.0
3.8920 0.0000 0.0000
0.0000 3.8920 0.0000
0.0000 0.0000 7.7465
Sm Pa Bi
1 1 2
Direct
0.0000 0.0000 0.0000
0.0000 0.0000 0.5000
0.5000 0.5000 0.2581
0.5000 0.5000 0.7419
```

Output
As for the symmetry: P4/mmm (123). As for the energy of formation from the pure elements: -145 kJ/mol of formula units. The total magnetic moment is 1.4 Bohr magnetons per cell. As for the energy above the most stable polymorph in this dataset: 0.399 eV per formula unit. The calculated volume comes out at 117.34 Å³ per cell. The total energy is -23.5 eV for the cell shown.

Entry 14:
## Sm3PaBi4 (PBE)

Data for a relaxed Sm3PaBi4 crystal.

Geometry as POSCAR:
```
Sm3PaBi4
1.0
4.5548 -6.4090 0.0000
4.5548 6.4090 0.0000
0.0000 0.0000 4.5248
Sm Pa Bi
3 1 4
Direct
0.0000 0.0000 0.0000
0.0000 0.5000 0.5000
0.5000 0.0000 0.5000
0.5000 0.5000 0.0000
0.2530 0.2530 0.5000
0.2526 0.7474 0.0000
0.7474 0.2526 0.0000
0.7470 0.7470 0.5000
```

Output
As for the symmetry: Cmmm (65). As for the energy of formation from the pure elements: -546 kJ/mol of formula units. The total magnetic moment is 1.1 Bohr magnetons per cell. The calculated volume comes out at 264.17 Å³ per cell. The total energy is -44.8 eV for the cell shown.

Entry 15:
## SmPaBi2 (PBE)

Data for a relaxed SmPaBi2 crystal.

Geometry as POSCAR:
```
SmPaBi2
1.0
0.0000 3.8815 3.8815
3.8815 0.0000 3.8815
3.8815 3.8815 0.0000
Sm Pa Bi
1 1 2
Direct
0.0000 0.0000 0.0000
0.5000 0.5000 0.5000
0.2500 0.2500 0.2500
0.7500 0.7500 0.7500
```

Output
As for the symmetry: Fm-3m (225). As for the energy of formation from the pure elements: -141 kJ/mol of formula units. The total magnetic moment is 1.9 Bohr magnetons per cell. As for the energy above the most stable polymorph in this dataset: 0.446 eV per formula unit. The calculated volume comes out at 116.95 Å³ per cell. The total energy is -23.4 eV for the cell shown.

Entry 16:
## Sr3Sm2PaBi6 (PBE)

Data for a relaxed Sr3Sm2PaBi6 crystal.

Geometry as POSCAR:
```
Sr3Sm2PaBi6
1.0
4.0286 -6.9862 0.0000
4.0286 6.9862 0.0000
-2.6948 0.0000 7.7575
Sr Sm Pa Bi
3 2 1 6
Direct
0.0000 0.0000 0.0000
0.3293 0.6707 0.0000
0.6707 0.3293 0.0000
0.1661 0.8339 0.5000
0.8339 0.1661 0.5000
0.5000 0.5000 0.5000
0.1003 0.4250 0.2741
0.2522 0.2522 0.7280
0.4250 0.1003 0.2741
0.5750 0.8997 0.7259
0.7478 0.7478 0.2720
0.8997 0.5750 0.7259
```

Output
As for the symmetry: C2/m (12). As for the energy of formation from the pure elements: -861 kJ/mol of formula units. The total magnetic moment is 0.0 Bohr magnetons per cell. The calculated volume comes out at 436.66 Å³ per cell. The total energy is -56.2 eV for the cell shown.

Entry 17:
## Sm2ThPaBi4 (PBE)

Data for a relaxed Sm2ThPaBi4 crystal.

Geometry as POSCAR:
```
Sm2ThPaBi4
1.0
7.8799 0.0000 0.0000
0.0000 4.5403 0.0000
-2.6158 0.0000 7.4533
Sm Th Pa Bi
2 1 1 4
Direct
0.0000 0.0000 0.0000
0.5000 0.5000 0.0000
0.0000 0.5000 0.5000
0.5000 0.0000 0.5000
0.2544 0.0000 0.7510
0.2539 0.5000 0.2509
0.7456 0.0000 0.2490
0.7461 0.5000 0.7491
```

Output
As for the symmetry: P2/m (10). As for the energy of formation from the pure elements: -472 kJ/mol of formula units. The total magnetic moment is 1.3 Bohr magnetons per cell. The calculated volume comes out at 266.66 Å³ per cell. The total energy is -46.8 eV for the cell shown.

Entry 18:
## Sm2TmPaBi4 (PBE)

Data for a relaxed Sm2TmPaBi4 crystal.

Geometry as POSCAR:
```
Sm2TmPaBi4
1.0
7.7973 0.0000 0.0000
0.0000 4.4987 0.0000
-2.5819 0.0000 7.3842
Sm Tm Pa Bi
2 1 1 4
Direct
0.0000 0.0000 0.0000
0.5000 0.5000 0.0000
0.0000 0.5000 0.5000
0.5000 0.0000 0.5000
0.2461 0.0000 0.7416
0.2495 0.5000 0.2556
0.7505 0.5000 0.7444
0.7539 0.0000 0.2584
```

Output
As for the symmetry: P2/m (10). As for the energy of formation from the pure elements: -515 kJ/mol of formula units. The total magnetic moment is 1.0 Bohr magnetons per cell. The calculated volume comes out at 259.02 Å³ per cell. The total energy is -44.3 eV for the cell shown.

Entry 19:
## PaSnBi (PBE)

Data for a relaxed PaSnBi crystal.

Geometry as POSCAR:
```
PaSnBi
1.0
-1.9981 1.9981 5.1714
1.9981 -1.9981 5.1714
1.9981 1.9981 -5.1714
Pa Sn Bi
1 1 1
Direct
0.0000 0.0000 0.0000
0.6598 0.6598 0.0000
0.3320 0.3320 0.0000
```

Output
As for the symmetry: I4mm (107). As for the energy of formation from the pure elements: -10 kJ/mol of formula units. The total magnetic moment is 1.0 Bohr magnetons per cell. As for the energy above the most stable polymorph in this dataset: 0.695 eV per formula unit. The calculated volume comes out at 82.59 Å³ per cell. The total energy is -17.5 eV for the cell shown.

Entry 20:
## Pa2SnBi2 (PBE)

Data for a relaxed Pa2SnBi2 crystal.

Geometry as POSCAR:
```
Pa2SnBi2
1.0
5.2871 0.0000 0.0000
-2.6435 4.5787 0.0000
0.0000 0.0000 12.3823
Pa Sn Bi
4 2 4
Direct
0.3333 0.6667 0.1322
0.3333 0.6667 0.3678
0.6667 0.3333 0.6322
0.6667 0.3333 0.8678
0.0000 0.0000 0.2500
0.0000 0.0000 0.7500
0.0000 0.0000 0.0000
0.0000 0.0000 0.5000
0.3333 0.6667 0.7500
0.6667 0.3333 0.2500
```

Output
As for the symmetry: P6_3/mmc (194). As for the energy of formation from the pure elements: 49 kJ/mol of formula units. The total magnetic moment is 4.9 Bohr magnetons per cell. The calculated volume comes out at 299.75 Å³ per cell. The total energy is -60.5 eV for the cell shown.